# Cd2SbPb PBE optimized geometry
data_Cd2SbPb
_chemical_formula_sum 'Cd6 Sb3 Pb3'
_cell_length_a 4.744
_cell_length_b 4.744
_cell_length_c 18.228
_cell_angle_alpha 90.00
_cell_angle_beta 90.00
_cell_angle_gamma 120.00
_symmetry_space_group_name_H-M 'P 1'
_symmetry_Int_Tables_number 1
_symmetry_space_group_name_Hall 'P 1'
loop_
_atom_site_label
_atom_site_type_symbol
_atom_site_fract_x
_atom_site_fract_y
_atom_site_fract_z
Cd1 Cd 0.000 0.000 0.000
Cd2 Cd 0.000 0.000 0.178
Cd3 Cd 0.333 0.667 0.667
Cd4 Cd 0.333 0.667 0.845
Cd5 Cd 0.667 0.333 0.333
Cd6 Cd 0.667 0.333 0.511
Sb1 Sb 0.000 0.000 0.585
Sb2 Sb 0.333 0.667 0.251
Sb3 Sb 0.667 0.333 0.918
Pb1 Pb 0.000 0.000 0.757
Pb2 Pb 0.333 0.667 0.424
Pb3 Pb 0.667 0.333 0.091
# * uncorrected energy: -28.20 eV for the cell shown
# * total magnetization: 0.00 μB/f.u.
# * relative energy among the computed polymorphs: 3 meV per atom
# * D(E_F): 5.4 states/eV per cell
# * ΔE_f (raw): 0.065 eV per atom
# * space group: No. 160



# La4NiGeI2 PBE optimized geometry
data_La4NiGeI2
_chemical_formula_sum 'La4 Ni1 Ge1 I2'
_cell_length_a 7.836
_cell_length_b 4.225
_cell_length_c 8.226
_cell_angle_alpha 90.00
_cell_angle_beta 106.85
_cell_angle_gamma 90.00
_symmetry_space_group_name_H-M 'P 1'
_symmetry_Int_Tables_number 1
_symmetry_space_group_name_Hall 'P 1'
loop_
_atom_site_label
_atom_site_type_symbol
_atom_site_fract_x
_atom_site_fract_y
_atom_site_fract_z
La1 La 0.211 0.000 0.185
La2 La 0.263 0.500 0.794
La3 La 0.737 0.500 0.206
La4 La 0.789 0.000 0.815
Ni1 Ni 0.000 0.500 0.000
Ge1 Ge 0.500 0.000 0.000
I1 I 0.000 0.000 0.500
I2 I 0.500 0.500 0.500
# * uncorrected energy: -40.18 eV for the cell shown
# * total magnetization: 0.00 μB/f.u.
# * D(E_F): 7.0 states/eV per cell
# * ΔE_f (raw): -0.872 eV per atom
# * space group: No. 10



# Dy2Ho3Pt4 PBE optimized geometry
data_Dy2Ho3Pt4
_chemical_formula_sum 'Dy4 Ho6 Pt8'
_cell_length_a 7.636
_cell_length_b 7.681
_cell_length_c 7.522
_cell_angle_alpha 90.00
_cell_angle_beta 109.77
_cell_angle_gamma 90.00
_symmetry_space_group_name_H-M 'P 1'
_symmetry_Int_Tables_number 1
_symmetry_space_group_name_Hall 'P 1'
loop_
_atom_site_label
_atom_site_type_symbol
_atom_site_fract_x
_atom_site_fract_y
_atom_site_fract_z
Dy1 Dy 0.194 0.180 0.073
Dy2 Dy 0.194 0.320 0.573
Dy3 Dy 0.806 0.680 0.427
Dy4 Dy 0.806 0.820 0.927
Ho1 Ho 0.243 0.667 0.246
Ho2 Ho 0.243 0.833 0.746
Ho3 Ho 0.500 0.000 0.500
Ho4 Ho 0.500 0.500 0.000
Ho5 Ho 0.757 0.167 0.254
Ho6 Ho 0.757 0.333 0.754
Pt1 Pt 0.086 0.535 0.850
Pt2 Pt 0.086 0.965 0.350
Pt3 Pt 0.488 0.136 0.868
Pt4 Pt 0.488 0.364 0.368
Pt5 Pt 0.512 0.636 0.632
Pt6 Pt 0.512 0.864 0.132
Pt7 Pt 0.914 0.035 0.650
Pt8 Pt 0.914 0.465 0.150
# * uncorrected energy: -115.62 eV for the cell shown
# * total magnetization: 0.00 μB/f.u.
# * D(E_F): 10.3 states/eV per cell
# * space group: No. 14
# * energy of formation from the pure elements: -1.19 eV per atom



# AsPPb PBE optimized geometry
data_AsPPb
_chemical_formula_sum 'As2 P2 Pb2'
_cell_length_a 3.495
_cell_length_b 3.495
_cell_length_c 11.013
_cell_angle_alpha 90.00
_cell_angle_beta 90.00
_cell_angle_gamma 90.00
_symmetry_space_group_name_H-M 'P 1'
_symmetry_Int_Tables_number 1
_symmetry_space_group_name_Hall 'P 1'
loop_
_atom_site_label
_atom_site_type_symbol
_atom_site_fract_x
_atom_site_fract_y
_atom_site_fract_z
As1 As 0.000 0.000 0.000
As2 As 0.500 0.500 0.500
P1 P 0.000 0.000 0.422
P2 P 0.500 0.500 0.922
Pb1 Pb 0.000 0.000 0.715
Pb2 Pb 0.500 0.500 0.215
# * uncorrected energy: -26.15 eV for the cell shown
# * total magnetization: 0.00 μB/f.u.
# * relative energy among the computed polymorphs: 156 meV per atom
# * D(E_F): 3.0 states/eV per cell
# * space group: No. 107
# * energy of formation from the pure elements: 0.23 eV per atom



# PmDy8Sc3 PBE optimized geometry
data_PmDy8Sc3
_chemical_formula_sum 'Pm1 Dy8 Sc3'
_cell_length_a 9.214
_cell_length_b 9.214
_cell_length_c 9.860
_cell_angle_alpha 122.30
_cell_angle_beta 122.30
_cell_angle_gamma 30.90
_symmetry_space_group_name_H-M 'P 1'
_symmetry_Int_Tables_number 1
_symmetry_space_group_name_Hall 'P 1'
loop_
_atom_site_label
_atom_site_type_symbol
_atom_site_fract_x
_atom_site_fract_y
_atom_site_fract_z
Pm1 Pm 0.000 0.000 0.000
Dy1 Dy 0.165 0.165 0.413
Dy2 Dy 0.332 0.332 0.835
Dy3 Dy 0.501 0.501 0.745
Dy4 Dy 0.666 0.666 0.665
Dy5 Dy 0.669 0.669 0.165
Dy6 Dy 0.833 0.833 0.085
Dy7 Dy 0.833 0.833 0.578
Dy8 Dy 0.997 0.997 0.493
Sc1 Sc 0.167 0.167 0.916
Sc2 Sc 0.333 0.333 0.326
Sc3 Sc 0.499 0.499 0.251
# * uncorrected energy: -60.06 eV for the cell shown
# * total magnetization: 0.00 μB/f.u.
# * D(E_F): 18.5 states/eV per cell
# * space group: No. 8
# * energy of formation from the pure elements: 0.04 eV per atom



# Ti2GaPb PBE optimized geometry
data_Ti2GaPb
_chemical_formula_sum 'Ti8 Ga4 Pb4'
_cell_length_a 7.408
_cell_length_b 7.408
_cell_length_c 5.832
_cell_angle_alpha 90.00
_cell_angle_beta 90.00
_cell_angle_gamma 90.00
_symmetry_space_group_name_H-M 'P 1'
_symmetry_Int_Tables_number 1
_symmetry_space_group_name_Hall 'P 1'
loop_
_atom_site_label
_atom_site_type_symbol
_atom_site_fract_x
_atom_site_fract_y
_atom_site_fract_z
Ti1 Ti 0.233 0.250 0.125
Ti2 Ti 0.250 0.733 0.375
Ti3 Ti 0.250 0.767 0.875
Ti4 Ti 0.267 0.250 0.625
Ti5 Ti 0.733 0.750 0.625
Ti6 Ti 0.750 0.233 0.875
Ti7 Ti 0.750 0.267 0.375
Ti8 Ti 0.767 0.750 0.125
Ga1 Ga 0.000 0.000 0.000
Ga2 Ga 0.000 0.500 0.250
Ga3 Ga 0.500 0.000 0.750
Ga4 Ga 0.500 0.500 0.500
Pb1 Pb 0.000 0.000 0.500
Pb2 Pb 0.000 0.500 0.750
Pb3 Pb 0.500 0.000 0.250
Pb4 Pb 0.500 0.500 0.000
# * uncorrected energy: -88.44 eV for the cell shown
# * total magnetization: 0.00 μB/f.u.
# * D(E_F): 14.1 states/eV per cell
# * space group: No. 122
# * energy of formation from the pure elements: 0.10 eV per atom



# ScCd2Ru PBE optimized geometry
data_ScCd2Ru
_chemical_formula_sum 'Sc4 Cd8 Ru4'
_cell_length_a 6.691
_cell_length_b 6.691
_cell_length_c 6.691
_cell_angle_alpha 90.00
_cell_angle_beta 90.00
_cell_angle_gamma 90.00
_symmetry_space_group_name_H-M 'P 1'
_symmetry_Int_Tables_number 1
_symmetry_space_group_name_Hall 'P 1'
loop_
_atom_site_label
_atom_site_type_symbol
_atom_site_fract_x
_atom_site_fract_y
_atom_site_fract_z
Sc1 Sc 0.000 0.000 0.000
Sc2 Sc 0.000 0.500 0.500
Sc3 Sc 0.500 0.000 0.500
Sc4 Sc 0.500 0.500 0.000
Cd1 Cd 0.000 0.000 0.500
Cd2 Cd 0.000 0.500 0.000
Cd3 Cd 0.250 0.250 0.250
Cd4 Cd 0.250 0.750 0.750
Cd5 Cd 0.500 0.000 0.000
Cd6 Cd 0.500 0.500 0.500
Cd7 Cd 0.750 0.250 0.750
Cd8 Cd 0.750 0.750 0.250
Ru1 Ru 0.250 0.250 0.750
Ru2 Ru 0.250 0.750 0.250
Ru3 Ru 0.750 0.250 0.250
Ru4 Ru 0.750 0.750 0.750
# * uncorrected energy: -70.76 eV for the cell shown
# * total magnetization: 0.00 μB/f.u.
# * D(E_F): 11.6 states/eV per cell
# * space group: No. 216
# * energy of formation from the pure elements: -0.06 eV per atom



# CeZn2CdAg5 PBE optimized geometry
data_CeZn2CdAg5
_chemical_formula_sum 'Ce1 Zn2 Cd1 Ag5'
_cell_length_a 4.952
_cell_length_b 4.952
_cell_length_c 7.681
_cell_angle_alpha 90.00
_cell_angle_beta 90.00
_cell_angle_gamma 90.00
_symmetry_space_group_name_H-M 'P 1'
_symmetry_Int_Tables_number 1
_symmetry_space_group_name_Hall 'P 1'
loop_
_atom_site_label
_atom_site_type_symbol
_atom_site_fract_x
_atom_site_fract_y
_atom_site_fract_z
Ce1 Ce 0.000 0.000 0.000
Zn1 Zn 0.500 0.500 0.344
Zn2 Zn 0.500 0.500 0.656
Cd1 Cd 0.000 0.000 0.500
Ag1 Ag 0.000 0.500 0.256
Ag2 Ag 0.000 0.500 0.744
Ag3 Ag 0.500 0.000 0.256
Ag4 Ag 0.500 0.000 0.744
Ag5 Ag 0.500 0.500 0.000
# * uncorrected energy: -23.06 eV for the cell shown
# * total magnetization: 1.04 μB/f.u.
# * D(E_F): 10.5 states/eV per cell
# * space group: No. 123
# * energy of formation from the pure elements: 0.07 eV per atom



# TlCuTcSe2 PBE optimized geometry
data_TlCuTcSe2
_chemical_formula_sum 'Tl1 Cu1 Tc1 Se2'
_cell_length_a 5.454
_cell_length_b 5.454
_cell_length_c 4.785
_cell_angle_alpha 90.00
_cell_angle_beta 90.00
_cell_angle_gamma 90.00
_symmetry_space_group_name_H-M 'P 1'
_symmetry_Int_Tables_number 1
_symmetry_space_group_name_Hall 'P 1'
loop_
_atom_site_label
_atom_site_type_symbol
_atom_site_fract_x
_atom_site_fract_y
_atom_site_fract_z
Tl1 Tl 0.000 0.000 0.000
Cu1 Cu 0.000 0.000 0.500
Tc1 Tc 0.500 0.500 0.500
Se1 Se 0.000 0.500 0.000
Se2 Se 0.500 0.000 0.000
# * uncorrected energy: -17.06 eV for the cell shown
# * total magnetization: 4.81 μB/f.u.
# * D(E_F): 2.2 states/eV per cell
# * ΔE_f (raw): 1.348 eV per atom
# * space group: No. 123



# KCd2I PBE optimized geometry
data_KCd2I
_chemical_formula_sum 'K4 Cd8 I4'
_cell_length_a 8.667
_cell_length_b 8.667
_cell_length_c 8.667
_cell_angle_alpha 90.00
_cell_angle_beta 90.00
_cell_angle_gamma 90.00
_symmetry_space_group_name_H-M 'P 1'
_symmetry_Int_Tables_number 1
_symmetry_space_group_name_Hall 'P 1'
loop_
_atom_site_label
_atom_site_type_symbol
_atom_site_fract_x
_atom_site_fract_y
_atom_site_fract_z
K1 K 0.000 0.000 0.000
K2 K 0.000 0.500 0.500
K3 K 0.500 0.000 0.500
K4 K 0.500 0.500 0.000
Cd1 Cd 0.250 0.250 0.250
Cd2 Cd 0.250 0.250 0.750
Cd3 Cd 0.250 0.750 0.250
Cd4 Cd 0.250 0.750 0.750
Cd5 Cd 0.750 0.250 0.250
Cd6 Cd 0.750 0.250 0.750
Cd7 Cd 0.750 0.750 0.250
Cd8 Cd 0.750 0.750 0.750
I1 I 0.000 0.000 0.500
I2 I 0.000 0.500 0.000
I3 I 0.500 0.000 0.000
I4 I 0.500 0.500 0.500
# * uncorrected energy: -21.94 eV for the cell shown
# * total magnetization: 0.00 μB/f.u.
# * relative energy among the computed polymorphs: 99 meV per atom
# * D(E_F): 0.0 states/eV per cell
# * ΔE_f (raw): -0.252 eV per atom
# * space group: No. 225



# PtW2Br PBE optimized geometry
data_PtW2Br
_chemical_formula_sum 'Pt2 W4 Br2'
_cell_length_a 8.518
_cell_length_b 2.838
_cell_length_c 5.651
_cell_angle_alpha 90.00
_cell_angle_beta 99.65
_cell_angle_gamma 90.00
_symmetry_space_group_name_H-M 'P 1'
_symmetry_Int_Tables_number 1
_symmetry_space_group_name_Hall 'P 1'
loop_
_atom_site_label
_atom_site_type_symbol
_atom_site_fract_x
_atom_site_fract_y
_atom_site_fract_z
Pt1 Pt 0.000 0.000 0.000
Pt2 Pt 0.500 0.500 0.000
W1 W 0.247 0.500 0.253
W2 W 0.253 0.000 0.747
W3 W 0.747 0.000 0.253
W4 W 0.753 0.500 0.747
Br1 Br 0.000 0.500 0.500
Br2 Br 0.500 0.000 0.500
# * uncorrected energy: -61.06 eV for the cell shown
# * total magnetization: 0.00 μB/f.u.
# * relative energy among the computed polymorphs: 367 meV per atom
# * D(E_F): 6.7 states/eV per cell
# * ΔE_f (raw): 0.772 eV per atom
# * space group: No. 12



# Ho3Tl5O12 PBE optimized geometry
data_Ho3Tl5O12
_chemical_formula_sum 'Ho12 Tl20 O48'
_cell_length_a 11.616
_cell_length_b 11.616
_cell_length_c 11.616
_cell_angle_alpha 109.47
_cell_angle_beta 109.47
_cell_angle_gamma 109.47
_symmetry_space_group_name_H-M 'P 1'
_symmetry_Int_Tables_number 1
_symmetry_space_group_name_Hall 'P 1'
loop_
_atom_site_label
_atom_site_type_symbol
_atom_site_fract_x
_atom_site_fract_y
_atom_site_fract_z
Ho1 Ho 0.125 0.250 0.375
Ho2 Ho 0.125 0.375 0.750
Ho3 Ho 0.250 0.375 0.125
Ho4 Ho 0.250 0.875 0.625
Ho5 Ho 0.375 0.125 0.250
Ho6 Ho 0.375 0.750 0.125
Ho7 Ho 0.625 0.250 0.875
Ho8 Ho 0.625 0.875 0.750
Ho9 Ho 0.750 0.125 0.375
Ho10 Ho 0.750 0.625 0.875
Ho11 Ho 0.875 0.625 0.250
Ho12 Ho 0.875 0.750 0.625
Tl1 Tl 0.000 0.000 0.000
Tl2 Tl 0.000 0.000 0.500
Tl3 Tl 0.000 0.500 0.000
Tl4 Tl 0.000 0.500 0.500
Tl5 Tl 0.125 0.750 0.875
Tl6 Tl 0.125 0.875 0.250
Tl7 Tl 0.250 0.125 0.875
Tl8 Tl 0.250 0.625 0.375
Tl9 Tl 0.375 0.250 0.625
Tl10 Tl 0.375 0.625 0.750
Tl11 Tl 0.500 0.000 0.000
Tl12 Tl 0.500 0.000 0.500
Tl13 Tl 0.500 0.500 0.000
Tl14 Tl 0.500 0.500 0.500
Tl15 Tl 0.625 0.375 0.250
Tl16 Tl 0.625 0.750 0.375
Tl17 Tl 0.750 0.375 0.625
Tl18 Tl 0.750 0.875 0.125
Tl19 Tl 0.875 0.125 0.750
Tl20 Tl 0.875 0.250 0.125
O1 O 0.053 0.223 0.139
O2 O 0.053 0.329 0.914
O3 O 0.084 0.723 0.671
O4 O 0.084 0.861 0.414
O5 O 0.086 0.639 0.416
O6 O 0.086 0.947 0.671
O7 O 0.139 0.053 0.223
O8 O 0.139 0.586 0.916
O9 O 0.171 0.223 0.584
O10 O 0.171 0.447 0.586
O11 O 0.223 0.139 0.053
O12 O 0.223 0.584 0.171
O13 O 0.277 0.329 0.916
O14 O 0.277 0.447 0.361
O15 O 0.329 0.914 0.053
O16 O 0.329 0.916 0.277
O17 O 0.361 0.277 0.447
O18 O 0.361 0.584 0.914
O19 O 0.414 0.084 0.861
O20 O 0.414 0.829 0.553
O21 O 0.416 0.086 0.639
O22 O 0.416 0.829 0.777
O23 O 0.447 0.361 0.277
O24 O 0.447 0.586 0.171
O25 O 0.553 0.414 0.829
O26 O 0.553 0.639 0.723
O27 O 0.584 0.171 0.223
O28 O 0.584 0.914 0.361
O29 O 0.586 0.171 0.447
O30 O 0.586 0.916 0.139
O31 O 0.639 0.416 0.086
O32 O 0.639 0.723 0.553
O33 O 0.671 0.084 0.723
O34 O 0.671 0.086 0.947
O35 O 0.723 0.553 0.639
O36 O 0.723 0.671 0.084
O37 O 0.777 0.416 0.829
O38 O 0.777 0.861 0.947
O39 O 0.829 0.553 0.414
O40 O 0.829 0.777 0.416
O41 O 0.861 0.414 0.084
O42 O 0.861 0.947 0.777
O43 O 0.914 0.053 0.329
O44 O 0.914 0.361 0.584
O45 O 0.916 0.139 0.586
O46 O 0.916 0.277 0.329
O47 O 0.947 0.671 0.086
O48 O 0.947 0.777 0.861
# * uncorrected energy: -472.03 eV for the cell shown
# * total magnetization: 0.00 μB/f.u.
# * D(E_F): 20.3 states/eV per cell
# * ΔE_f (raw): -1.647 eV per atom
# * space group: No. 230